# 1
InRuPb | PBE | optimized geometry

Computed properties:
Excess energy over the best structure of this formula in the dataset in kcal/mol of atoms: 3.89
V in Å³/atom: 21.982
Crystal system: trigonal
E_form in eV/atom: 0.30

Lattice parameters (Å, degrees): 3.3238 3.3238 6.8924 90.00 90.00 120.00
Last column: nearest neighbours and their distance in Å.
Positions (direct):
Pb  0.6667  0.3333  0.3732  3 Ru 2.81
Ru  0.3333  0.6667  0.6705  3 In 2.75, 3 Pb 2.81
In  0.0000  0.0000  0.9563  3 Ru 2.75



# 2
PmGa4Ag4 | PBE | optimized geometry

Computed properties:
V in Å³/atom: 19.836
Crystal system: tetragonal
E_form in eV/atom: -0.16

Lattice parameters (Å, degrees): 6.2418 6.2418 9.1644 90.00 90.00 90.00
Last column: nearest neighbours and their distance in Å.
Positions (direct):
Ga  0.5000  0.7806  0.7933  5 Ag 2.66-2.74, 1 Ga 2.74
Ga  0.2194  0.5000  0.2067  5 Ag 2.66-2.74, 1 Ga 2.74
Ag  0.5000  0.2226  0.0838  5 Ga 2.66-2.74, 3 Ag 2.78-2.89
Ga  0.0000  0.7194  0.7067  5 Ag 2.66-2.74, 1 Ga 2.74
Ga  0.5000  0.2194  0.7933  5 Ag 2.66-2.74, 1 Ga 2.74
Ga  0.7194  0.0000  0.2933  5 Ag 2.66-2.74, 1 Ga 2.74
Ag  0.7226  0.0000  0.5838  5 Ga 2.66-2.74, 3 Ag 2.78-2.89
Ga  0.2806  0.0000  0.2933  5 Ag 2.66-2.74, 1 Ga 2.74
Ag  0.2774  0.0000  0.5838  5 Ga 2.66-2.74, 3 Ag 2.78-2.89
Ag  0.5000  0.7774  0.0838  5 Ga 2.66-2.74, 3 Ag 2.78-2.89
Pm  0.5000  0.5000  0.5000  4 Ga 3.21, 8 Ag 3.50
Ga  0.0000  0.2806  0.7067  5 Ag 2.66-2.74, 1 Ga 2.74
Ag  0.7774  0.5000  0.9162  5 Ga 2.66-2.74, 3 Ag 2.78-2.89
Ag  0.0000  0.2774  0.4162  5 Ga 2.66-2.74, 3 Ag 2.78-2.89
Pm  0.0000  0.0000  0.0000  4 Ga 3.21, 8 Ag 3.50
Ag  0.2226  0.5000  0.9162  5 Ga 2.66-2.74, 3 Ag 2.78-2.89
Ga  0.7806  0.5000  0.2067  5 Ag 2.66-2.74, 1 Ga 2.74
Ag  0.0000  0.7226  0.4162  5 Ga 2.66-2.74, 3 Ag 2.78-2.89



# 3
NbGa3P | PBE | optimized geometry

Computed properties:
Excess energy over the best structure of this formula in the dataset in kcal/mol of atoms: 0.00
V in Å³/atom: 20.431
Crystal system: cubic
E_form in eV/atom: 0.79

Lattice parameters (Å, degrees): 4.6747 4.6747 4.6747 90.00 90.00 90.00
Last column: nearest neighbours and their distance in Å.
Positions (direct):
P  0.0000  0.0000  0.0000  6 Ga 2.34
Ga  0.0000  0.5000  0.0000  2 P 2.34
Ga  0.5000  0.0000  0.0000  2 P 2.34
Nb  0.5000  0.5000  0.5000  12 Ga 3.31
Ga  0.0000  0.0000  0.5000  2 P 2.34



# 4
Tm3HgPd6 | PBE | optimized geometry

Computed properties:
V in Å³/atom: 19.694
Crystal system: orthorhombic
E_form in eV/atom: -0.69

Lattice parameters (Å, degrees): 4.7100 9.5497 9.5497 113.51 90.00 90.00
Last column: nearest neighbours and their distance in Å.
Positions (direct):
Pd  0.0320  0.3844  0.2823  4 Pd 2.76-2.92, 4 Tm 2.85-2.97
Pd  0.3794  0.0479  0.4691  4 Pd 2.68-2.76, 1 Tm 2.72, 1 Hg 2.86
Tm  0.9863  0.7302  0.9307  5 Pd 2.72-3.02
Pd  0.0320  0.7177  0.6156  4 Pd 2.76-2.92, 4 Tm 2.85-2.97
Tm  0.5619  0.5937  0.4063  6 Pd 2.78-2.96
Pd  0.5851  0.3033  0.6967  4 Pd 2.72-2.92, 2 Hg 2.74-2.82, 2 Tm 2.78-2.96
Hg  0.5743  0.7890  0.2110  5 Pd 2.72-2.86
Pd  0.8794  0.9521  0.5309  4 Pd 2.68-2.76, 1 Tm 2.72, 1 Hg 2.86
Tm  0.4863  0.9307  0.7302  5 Pd 2.72-3.02
Pd  0.0851  0.6967  0.3033  4 Pd 2.72-2.92, 2 Hg 2.74-2.82, 2 Tm 2.78-2.96
Tm  0.9863  0.0693  0.2698  5 Pd 2.72-3.02
Pd  0.5320  0.6156  0.7177  4 Pd 2.76-2.92, 4 Tm 2.85-2.97
Tm  0.4863  0.2698  0.0693  5 Pd 2.72-3.02
Pd  0.5320  0.2823  0.3844  4 Pd 2.76-2.92, 4 Tm 2.85-2.97
Pd  0.9686  0.0435  0.9565  1 Hg 2.72, 2 Pd 2.74, 4 Tm 2.90-3.02
Pd  0.4686  0.9565  0.0435  1 Hg 2.72, 2 Pd 2.74, 4 Tm 2.90-3.02
Tm  0.0619  0.4063  0.5937  6 Pd 2.78-2.96
Hg  0.0743  0.2110  0.7890  5 Pd 2.72-2.86
Pd  0.3794  0.5309  0.9521  4 Pd 2.68-2.76, 1 Tm 2.72, 1 Hg 2.86
Pd  0.8794  0.4691  0.0479  4 Pd 2.68-2.76, 1 Tm 2.72, 1 Hg 2.86